Record 1
Density functional theory data (PBE) for Pr2NdGe3Rh4 after structural relaxation.

Summary:
For the volume, the calculation gives 20.34 Å³/atom. Its uncorrected energy is -6.5803 eV per atom. Its magnetic moment is 0.00 μB per formula unit. Its crystal system is tetragonal. For the density of states at the Fermi level, the calculation gives 5.66 states/eV per cell.

Lattice parameters (Å, degrees): 4.246 4.246 11.284 90.00 90.00 90.00
Space group P-4m2 (No. 115)
Asymmetric unit:
1 Pr 0.000 0.500 0.227 x2
2 Nd 0.000 0.000 0.500 x1
3 Ge 0.000 0.500 0.882 x2
4 Ge 0.500 0.500 0.500 x1
5 Rh 0.000 0.000 0.000 x1
6 Rh 0.000 0.500 0.663 x2
7 Rh 0.500 0.500 0.000 x1

***

Record 2
Density functional theory data (PBE) for Dy3Ti5S12 after structural relaxation.

Summary:
For the volume, the calculation gives 21.57 Å³/atom. Its uncorrected energy is -6.6058 eV per atom. Its magnetic moment is 4.74 μB per formula unit. Its crystal system is cubic. For the density of states at the Fermi level, the calculation gives 113.61 states/eV per cell. For the raw formation energy, the calculation gives -1465 meV per atom.

Lattice parameters (Å, degrees): 15.113 15.113 15.113 90.00 90.00 90.00
Space group Ia-3d (No. 230)
Asymmetric unit:
1 Dy 0.000 0.250 0.125 x24
2 Ti 0.000 0.000 0.000 x16
3 Ti 0.000 0.250 0.375 x24
4 S 0.028 0.062 0.651 x96

***

Record 3
Density functional theory data (PBE) for TbNdAgPt after structural relaxation.

Summary:
For the volume, the calculation gives 24.69 Å³/atom. Its uncorrected energy is -5.3010 eV per atom. Its magnetic moment is 0.00 μB per formula unit. Its crystal system is orthorhombic. For the density of states at the Fermi level, the calculation gives 5.56 states/eV per cell.

Lattice parameters (Å, degrees): 4.679 3.867 10.915 90.00 90.00 90.00
Space group Amm2 (No. 38)
Asymmetric unit:
1 Tb 0.000 0.000 0.000 x2
2 Nd 0.500 0.000 0.723 x2
3 Ag 0.000 0.000 0.282 x2
4 Pt 0.500 0.000 0.450 x2

***

Record 4
Density functional theory data (PBE) for Li2PmTm after structural relaxation.

Summary:
For the volume, the calculation gives 28.35 Å³/atom. Its uncorrected energy is -2.9698 eV per atom. Its magnetic moment is 0.00 μB per formula unit. Its crystal system is trigonal. For the density of states at the Fermi level, the calculation gives 11.70 states/eV per cell.

Lattice parameters (Å, degrees): 3.3259 3.3259 35.5122 90.00 90.00 120.00
Space group R-3m (No. 166, hexagonal axes)
Asymmetric unit:
1 Li 0.0000 0.0000 0.0871 x6
2 Pm 0.0000 0.0000 0.5000 x3
3 Tm 0.0000 0.0000 0.0000 x3

***

Record 5
Density functional theory data (PBE) for Pr3SnSe after structural relaxation.

Summary:
For the volume, the calculation gives 31.13 Å³/atom. Its uncorrected energy is -5.4305 eV per atom. Its magnetic moment is 0.00 μB per formula unit. Its crystal system is orthorhombic. For the density of states at the Fermi level, the calculation gives 19.46 states/eV per cell. For the raw formation energy, the calculation gives -1065 meV per atom.

Lattice parameters (Å, degrees): 8.893 4.353 16.083 90.00 90.00 90.00
Space group Pnma (No. 62)
Asymmetric unit:
1 Pr 0.020 0.250 0.109 x4
2 Pr 0.152 0.250 0.538 x4
3 Pr 0.170 0.750 0.285 x4
4 Sn 0.109 0.750 0.692 x4
5 Se 0.188 0.250 0.948 x4

***

Record 6
Density functional theory data (PBE) for VCo2Pt after structural relaxation.

Summary:
For the volume, the calculation gives 12.63 Å³/atom. Its uncorrected energy is -7.4258 eV per atom. Its magnetic moment is 0.98 μB per formula unit. Its crystal system is cubic. For the density of states at the Fermi level, the calculation gives 22.45 states/eV per cell.

Lattice parameters (Å, degrees): 5.868 5.868 5.868 90.00 90.00 90.00
Space group Fm-3m (No. 225)
Asymmetric unit:
1 V 0.000 0.000 0.000 x4
2 Co 0.250 0.250 0.250 x8
3 Pt 0.000 0.000 0.500 x4

***

- What is the uncorrected energy in the first record?
  -6.5803 eV per atom

***

- magnetic moment of number 4 (Li2PmTm)?
  0.00 μB per formula unit